# 1
## Lu6AgTe2 (PBE)

Data for a relaxed structure of Lu6AgTe2.

```
36
Lattice="21.317 0.000 0.000 0.000 4.001 0.000 0.000 0.000 11.346" Properties=species:S:1:pos:R:3 pbc="T T T"
Lu 0.171 1.000 1.256
Lu 0.598 3.001 4.291
Lu 2.316 1.000 9.283
Lu 2.992 3.001 0.702
Lu 3.395 1.000 6.003
Lu 4.943 3.001 8.396
Lu 5.716 1.000 2.723
Lu 7.263 3.001 0.330
Lu 7.666 1.000 6.375
Lu 8.343 3.001 3.610
Lu 10.061 1.000 9.964
Lu 10.487 3.001 6.929
Lu 10.830 1.000 4.418
Lu 11.257 3.001 1.382
Lu 12.975 1.000 7.736
Lu 13.651 3.001 4.971
Lu 14.054 1.000 11.016
Lu 15.602 3.001 8.624
Lu 16.375 1.000 2.950
Lu 17.922 3.001 5.343
Lu 18.325 1.000 10.644
Lu 19.002 3.001 2.063
Lu 20.720 1.000 7.055
Lu 21.146 3.001 10.091
Ag 1.628 3.001 7.213
Ag 9.030 1.000 1.540
Ag 12.287 3.001 9.806
Ag 19.689 1.000 4.133
Te 2.703 1.000 3.043
Te 5.051 1.000 10.856
Te 5.608 3.001 5.183
Te 7.955 3.001 8.716
Te 13.362 1.000 2.631
Te 15.710 1.000 6.163
Te 16.267 3.001 0.490
Te 18.614 3.001 8.304
```

Output
Space group: Pnma (62)
E_tot, eV/atom: -4.6408

***

# 2
## MgPaTa (PBE)

Data for a relaxed structure of MgPaTa.

```
3
Lattice="0.000 3.313 3.313 3.313 0.000 3.313 3.313 3.313 0.000" Properties=species:S:1:pos:R:3 pbc="T T T"
Mg 0.000 0.000 0.000
Pa 4.970 4.970 4.970
Ta 1.657 1.657 1.657
```

Output
Space group: F-43m (216)
E_tot, eV/atom: -6.4530
Distance to the lowest polymorph of the same formula, eV/atom: 0.000

***

# 3
## ScZnAgPt (PBE)

Data for a relaxed structure of ScZnAgPt.

```
4
Lattice="0.000 3.234 3.234 3.234 0.000 3.234 3.234 3.234 0.000" Properties=species:S:1:pos:R:3 pbc="T T T"
Sc 0.000 0.000 0.000
Zn 4.852 4.852 4.852
Ag 1.617 1.617 1.617
Pt 3.234 3.234 3.234
```

Output
Space group: F-43m (216)
E_tot, eV/atom: -4.5857
Distance to the lowest polymorph of the same formula, eV/atom: 0.146